# 1
The following is a DFT calculation (PBE) of crystalline Rb4NaAu2 at its relaxed geometry.

Output
The calculation puts the theoretical density at 3.76 g/cm3. The calculation puts the energy relative to the elements at -0.131 eV per atom. The value obtained for the polymorph energy (0 for the lowest one) is 24 meV per atom. The total moment comes out at 0.0 μB/f.u.

a = 6.316 Å, b = 10.948 Å, c = 19.401 Å
α = 90.00°, β = 90.00°, γ = 90.00°
Space group Cmcm (No. 63)
One atom of each set of equivalent atoms:
Rb 0.000 0.000 0.000 x4
Rb 0.000 0.333 0.108 x8
Rb 0.000 0.334 0.750 x4
Na 0.000 0.001 0.750 x4
Au 0.000 0.334 0.571 x8

# 2
The following is a DFT calculation (PBE) of crystalline Rb8NaAu2 at its relaxed geometry.

Output
The calculation puts the theoretical density at 2.78 g/cm3. The calculation puts the energy relative to the elements at -0.099 eV per atom. The total moment comes out at 0.0 μB/f.u.

a = 11.339 Å, b = 16.668 Å, c = 7.125 Å
α = 90.00°, β = 102.13°, γ = 90.00°
Space group C2/m (No. 12)
One atom of each set of equivalent atoms:
Rb 0.000 0.244 0.000 x4
Rb 0.114 0.000 0.781 x4
Rb 0.195 0.362 0.584 x8
Na 0.000 0.500 0.000 x2
Au 0.000 0.182 0.500 x4

# 3
The following is a DFT calculation (PBE) of crystalline Rb2Na6Au at its relaxed geometry.

Output
The calculation puts the theoretical density at 2.16 g/cm3. The calculation puts the energy relative to the elements at -0.030 eV per atom. The total moment comes out at 0.0 μB/f.u.

a = 11.587 Å, b = 11.587 Å, c = 11.587 Å
α = 90.00°, β = 90.00°, γ = 90.00°
Space group Fm-3m (No. 225)
One atom of each set of equivalent atoms:
Rb 0.250 0.250 0.250 x8
Na 0.000 0.000 0.243 x24
Au 0.000 0.000 0.500 x4

# 4
The following is a DFT calculation (PBE) of crystalline RbNaAu2 at its relaxed geometry.

Output
The calculation puts the theoretical density at 6.99 g/cm3. The calculation puts the energy relative to the elements at -0.158 eV per atom. The value obtained for the polymorph energy (0 for the lowest one) is 115 meV per atom. The total moment comes out at 0.0 μB/f.u.

a = 7.814 Å, b = 7.814 Å, c = 7.814 Å
α = 90.00°, β = 90.00°, γ = 90.00°
Space group Fm-3m (No. 225)
One atom of each set of equivalent atoms:
Rb 0.000 0.000 0.000 x4
Na 0.000 0.000 0.500 x4
Au 0.250 0.250 0.250 x8

# 5
The following is a DFT calculation (PBE) of crystalline RbNaAu2 at its relaxed geometry.

Output
The calculation puts the theoretical density at 7.32 g/cm3. The calculation puts the energy relative to the elements at -0.240 eV per atom. The value obtained for the polymorph energy (0 for the lowest one) is 32 meV per atom. The total moment comes out at 0.0 μB/f.u.

a = 3.834 Å, b = 3.834 Å, c = 7.754 Å
α = 90.00°, β = 90.00°, γ = 90.00°
Space group P4/mmm (No. 123)
One atom of each set of equivalent atoms:
Rb 0.000 0.000 0.000 x1
Na 0.000 0.000 0.500 x1
Au 0.500 0.500 0.307 x2

# 6
The following is a DFT calculation (PBE) of crystalline RbNaAu at its relaxed geometry.

Output
The calculation puts the theoretical density at 4.53 g/cm3. The calculation puts the energy relative to the elements at -0.229 eV per atom. The total moment comes out at 0.0 μB/f.u.

a = 4.674 Å, b = 6.919 Å, c = 13.848 Å
α = 90.00°, β = 90.00°, γ = 90.00°
Space group Immm (No. 71)
One atom of each set of equivalent atoms:
Rb 0.000 0.000 0.203 x4
Na 0.000 0.224 0.500 x4
Au 0.000 0.500 0.103 x4

Look up the total moment of the sixth one.
0.0 μB/f.u.

The highest energy relative to the elements belongs to which entry?
Rb2Na6Au